Entry from the Open Quantum Materials Database: BaZnGe after structural relaxation (GGA-PBE).

Calculated values
- Space group: P-62m, No. 189

Unit cell a=8.8624 b=8.8624 c=3.9468 alpha=90.00 beta=90.00 gamma=120.00
With the nearest neighbours (Å) after each atom.
Atoms (fractional coordinates):
Ba: 0.0000 0.2885 0.0000  4 Ge 3.17-3.23, 2 Zn 3.50
Ba: 0.2885 0.0000 0.0000  4 Ge 3.17-3.23, 2 Zn 3.50
Ba: 0.7115 0.7115 0.0000  4 Ge 3.17-3.23, 2 Zn 3.50
Zn: 0.0000 0.6143 0.5000  5 Ge 3.39-3.42, 6 Ba 3.50-3.66
Zn: 0.3857 0.3857 0.5000  5 Ge 3.39-3.42, 6 Ba 3.50-3.66
Zn: 0.6143 0.0000 0.5000  5 Ge 3.39-3.42, 6 Ba 3.50-3.66
Ge: 0.0000 0.0000 0.5000  6 Ba 3.23, 3 Zn 3.42
Ge: 0.3333 0.6667 0.0000  3 Ba 3.17, 6 Zn 3.39
Ge: 0.6667 0.3333 0.0000  3 Ba 3.17, 6 Zn 3.39

---

Entry from the Open Quantum Materials Database: BaZnGe after structural relaxation (GGA-PBE).

Calculated values
- Space group: P-62m, No. 189

Unit cell a=7.6595 b=7.6595 c=4.7305 alpha=90.00 beta=90.00 gamma=120.00
With the nearest neighbours (Å) after each atom.
Atoms (fractional coordinates):
Ba: 0.0000 0.5847 0.0000  5 Zn 3.18-3.30
Ba: 0.4153 0.4153 0.0000  5 Zn 3.18-3.30
Ba: 0.5847 0.0000 0.0000  5 Zn 3.18-3.30
Zn: 0.0000 0.0000 0.0000  6 Ge 2.96, 3 Ba 3.18
Zn: 0.3333 0.6667 0.5000  3 Ge 3.01, 6 Ba 3.30
Zn: 0.6667 0.3333 0.5000  3 Ge 3.01, 6 Ba 3.30
Ge: 0.0000 0.2329 0.5000  4 Zn 2.96-3.01, 2 Ge 3.09
Ge: 0.2329 0.0000 0.5000  4 Zn 2.96-3.01, 2 Ge 3.09
Ge: 0.7671 0.7671 0.5000  4 Zn 2.96-3.01, 2 Ge 3.09

---

Entry from the Open Quantum Materials Database: Ba3Zn4Ge4 after structural relaxation (GGA-PBE).

Calculated values
- Space group: C2/m, No. 12

Unit cell a=13.3442 b=13.3442 c=4.8020 alpha=100.35 beta=100.35 gamma=19.35
With the nearest neighbours (Å) after each atom.
Atoms (fractional coordinates):
Ba: 0.0000 0.0000 0.0000  4 Zn 3.47, 8 Ge 3.53
Ba: 0.3483 0.3483 0.8485  8 Zn 3.42-3.58, 6 Ge 3.48-3.56
Ba: 0.6517 0.6517 0.1515  8 Zn 3.42-3.58, 6 Ge 3.48-3.56
Zn: 0.0967 0.0967 0.5965  3 Ge 2.54-2.58
Zn: 0.2516 0.2516 0.2512  4 Ge 2.61-2.80
Zn: 0.7484 0.7484 0.7488  4 Ge 2.61-2.80
Zn: 0.9033 0.9033 0.4035  3 Ge 2.54-2.58
Ge: 0.1964 0.1964 0.6952  5 Zn 2.58-2.80
Ge: 0.4497 0.4497 0.4495  2 Zn 2.54, 1 Ge 2.60
Ge: 0.5503 0.5503 0.5505  2 Zn 2.54, 1 Ge 2.60
Ge: 0.8036 0.8036 0.3048  5 Zn 2.58-2.80

---

Entry from the Open Quantum Materials Database: BaZrGe after structural relaxation (GGA-PBE).

Calculated values
- Space group: F-43m, No. 216

Unit cell a=5.2003 b=5.2003 c=5.2003 alpha=60.00 beta=60.00 gamma=60.00
With the nearest neighbours (Å) after each atom.
Atoms (fractional coordinates):
Ba: 0.0000 0.0000 0.0000  4 Ge 3.18, 4 Zr 3.18
Zr: 0.2500 0.2500 0.2500  4 Ba 3.18
Ge: 0.7500 0.7500 0.7500  4 Ba 3.18

---

Entry from the Open Quantum Materials Database: BaZrGe after structural relaxation (GGA-PBE).

Calculated values
- Space group: F-43m, No. 216

Unit cell a=5.1072 b=5.1072 c=5.1072 alpha=60.00 beta=60.00 gamma=60.00
With the nearest neighbours (Å) after each atom.
Atoms (fractional coordinates):
Ba: 0.0000 0.0000 0.0000  4 Ge 3.13
Zr: 0.5000 0.5000 0.5000  4 Ge 3.13
Ge: 0.2500 0.2500 0.2500  4 Ba 3.13, 4 Zr 3.13

---

Entry from the Open Quantum Materials Database: BaZr2Ge after structural relaxation (GGA-PBE).

Calculated values
- Space group: Pmmn, No. 59

Unit cell a=4.9136 b=5.8296 c=7.9788 alpha=90.00 beta=90.00 gamma=90.00
With the nearest neighbours (Å) after each atom.
Atoms (fractional coordinates):
Ba: 0.2500 0.2500 0.0838  2 Ge 3.37, 4 Zr 3.77
Ba: 0.7500 0.7500 0.9162  2 Ge 3.37, 4 Zr 3.77
Zr: 0.2500 0.0055 0.6111  4 Zr 2.85-3.03, 3 Ge 2.92-2.93
Zr: 0.2500 0.4945 0.6111  4 Zr 2.85-3.03, 3 Ge 2.92-2.93
Zr: 0.7500 0.5055 0.3889  4 Zr 2.85-3.03, 3 Ge 2.92-2.93
Zr: 0.7500 0.9945 0.3889  4 Zr 2.85-3.03, 3 Ge 2.92-2.93
Ge: 0.2500 0.7500 0.2966  6 Zr 2.92-2.93
Ge: 0.7500 0.2500 0.7034  6 Zr 2.92-2.93

---

Entry from the Open Quantum Materials Database: Ba2NiHgH6 after structural relaxation (GGA-PBE).

Calculated values
- Space group: Fm-3m, No. 225

Unit cell a=5.7654 b=5.7654 c=5.7654 alpha=60.00 beta=60.00 gamma=60.00
With the nearest neighbours (Å) after each atom.
Atoms (fractional coordinates):
Ba: 0.2500 0.2500 0.2500  12 H 2.91
Ba: 0.7500 0.7500 0.7500  12 H 2.91
Ni: 0.0000 0.0000 0.0000  6 H 1.63
Hg: 0.5000 0.5000 0.5000  6 H 2.44
H: 0.2003 0.2003 0.7997  1 Ni 1.63
H: 0.2003 0.7997 0.2003  1 Ni 1.63
H: 0.2003 0.7997 0.7997  1 Ni 1.63
H: 0.7997 0.2003 0.2003  1 Ni 1.63
H: 0.7997 0.2003 0.7997  1 Ni 1.63
H: 0.7997 0.7997 0.2003  1 Ni 1.63

---

Entry from the Open Quantum Materials Database: Ba2HgH6Pd after structural relaxation (GGA-PBE).

Calculated values
- Space group: Fm-3m, No. 225

Unit cell a=5.8422 b=5.8422 c=5.8422 alpha=60.00 beta=60.00 gamma=60.00
With the nearest neighbours (Å) after each atom.
Atoms (fractional coordinates):
Ba: 0.2500 0.2500 0.2500  12 H 2.93
Ba: 0.7500 0.7500 0.7500  12 H 2.93
Hg: 0.0000 0.0000 0.0000  6 H 2.35
H: 0.2842 0.2842 0.7158  1 Pd 1.78
H: 0.2842 0.7158 0.2842  1 Pd 1.78
H: 0.2842 0.7158 0.7158  1 Pd 1.78
H: 0.7158 0.2842 0.2842  1 Pd 1.78
H: 0.7158 0.2842 0.7158  1 Pd 1.78
H: 0.7158 0.7158 0.2842  1 Pd 1.78
Pd: 0.5000 0.5000 0.5000  6 H 1.78

---

Entry from the Open Quantum Materials Database: BaNaHoH6 after structural relaxation (GGA-PBE).

Calculated values
- Space group: F-43m, No. 216

Unit cell a=5.8216 b=5.8216 c=5.8216 alpha=60.00 beta=60.00 gamma=60.00
With the nearest neighbours (Å) after each atom.
Atoms (fractional coordinates):
Ba: 0.0000 0.0000 0.0000  12 H 2.91
Na: 0.5000 0.5000 0.5000  12 H 2.91
Ho: 0.7500 0.7500 0.7500  6 H 2.11
H: 0.0067 0.0067 0.4933  1 Ho 2.11
H: 0.0067 0.4933 0.0067  1 Ho 2.11
H: 0.0067 0.4933 0.4933  1 Ho 2.11
H: 0.4933 0.0067 0.0067  1 Ho 2.11
H: 0.4933 0.0067 0.4933  1 Ho 2.11
H: 0.4933 0.4933 0.0067  1 Ho 2.11

---

Entry from the Open Quantum Materials Database: Ba2InNiH6 after structural relaxation (GGA-PBE).

Calculated values
- Space group: Fm-3m, No. 225

Unit cell a=5.7759 b=5.7759 c=5.7759 alpha=60.00 beta=60.00 gamma=60.00
With the nearest neighbours (Å) after each atom.
Atoms (fractional coordinates):
Ba: 0.2500 0.2500 0.2500  12 H 2.91
Ba: 0.7500 0.7500 0.7500  12 H 2.91
In: 0.0000 0.0000 0.0000  6 H 2.43
Ni: 0.5000 0.5000 0.5000  6 H 1.65
H: 0.2977 0.2977 0.7023  1 Ni 1.65
H: 0.2977 0.7023 0.2977  1 Ni 1.65
H: 0.2977 0.7023 0.7023  1 Ni 1.65
H: 0.7023 0.2977 0.2977  1 Ni 1.65
H: 0.7023 0.2977 0.7023  1 Ni 1.65
H: 0.7023 0.7023 0.2977  1 Ni 1.65

---

Entry from the Open Quantum Materials Database: BaHIr after structural relaxation (GGA-PBE).

Calculated values
- Space group: P2_1, No. 4

Unit cell a=4.6912 b=4.3212 c=7.2770 alpha=90.00 beta=108.76 gamma=90.00
With the nearest neighbours (Å) after each atom.
Atoms (fractional coordinates):
Ba: 0.1305 0.0000 0.2592  1 H 2.82
Ba: 0.8695 0.5000 0.7408  1 H 2.82
H: 0.3221 0.0037 0.6680  1 Ir 1.70
H: 0.6779 0.5037 0.3320  1 Ir 1.70
Ir: 0.4551 0.9999 0.9144  1 H 1.70
Ir: 0.5449 0.4999 0.0856  1 H 1.70

---

Number 1: uncorrected energy -2.584 eV/atom. Number 2: uncorrected energy -2.792 eV/atom. Number 3: uncorrected energy -3.107 eV/atom. Number 4: uncorrected energy -3.966 eV/atom. Number 5: uncorrected energy -4.836 eV/atom. Number 6: uncorrected energy -6.018 eV/atom. Number 7: uncorrected energy -3.322 eV/atom. Number 8: uncorrected energy -3.303 eV/atom. Number 9: uncorrected energy -3.258 eV/atom. Number 10: uncorrected energy -3.512 eV/atom. Number 11: uncorrected energy -5.025 eV/atom.